{"formula": "Hf4BN3", "functional": "PBE", "state": "optimized geometry", "lattice_angstrom": [[4.6043, 0.0000, 0.0000], [0.0000, 4.6043, 0.0000], [0.0000, 0.0000, 4.6043]], "species": ["Hf", "Hf", "Hf", "Hf", "B", "N", "N", "N"], "fractional_positions": [[0.0000, 0.0000, 0.0000], [0.0000, 0.5000, 0.5000], [0.5000, 0.0000, 0.5000], [0.5000, 0.5000, 0.0000], [0.5000, 0.5000, 0.5000], [0.0000, 0.0000, 0.5000], [0.0000, 0.5000, 0.0000], [0.5000, 0.0000, 0.0000]], "total_magnetization_mub_per_atom": 0.0000}



{"formula": "CuHg4P", "functional": "PBE", "state": "optimized geometry", "lattice_angstrom": [[0.0000, 4.1067, 4.1067], [4.1067, 0.0000, 4.1067], [4.1067, 4.1067, 0.0000]], "species": ["Cu", "Hg", "Hg", "Hg", "Hg", "P"], "fractional_positions": [[0.0000, 0.0000, 0.0000], [0.1247, 0.6251, 0.6251], [0.6251, 0.1247, 0.6251], [0.6251, 0.6251, 0.1247], [0.6251, 0.6251, 0.6251], [0.2500, 0.2500, 0.2500]], "e_form_mev_per_atom": 717, "total_magnetization_mub_per_atom": 0.0001}



{"formula": "AcMg3Ag", "functional": "PBE", "state": "optimized geometry", "lattice_angstrom": [[3.2860, -6.3478, 0.0000], [3.2860, 6.3478, 0.0000], [0.0000, 0.0000, 6.5345]], "species": ["Ac", "Ac", "Mg", "Mg", "Mg", "Mg", "Mg", "Mg", "Ag", "Ag"], "fractional_positions": [[0.2470, 0.7530, 0.7500], [0.7530, 0.2470, 0.2500], [0.1423, 0.8577, 0.2500], [0.2656, 0.2656, 0.0000], [0.2656, 0.2656, 0.5000], [0.7344, 0.7344, 0.0000], [0.7344, 0.7344, 0.5000], [0.8577, 0.1423, 0.7500], [0.3590, 0.6410, 0.2500], [0.6410, 0.3590, 0.7500]], "e_form_mev_per_atom": -123, "total_magnetization_mub_per_atom": 0.0000, "de_polymorph_ev_per_atom": 0.033}



{"formula": "PrDy2Se5", "functional": "PBE", "state": "optimized geometry", "lattice_angstrom": [[-3.8393, 3.8393, 6.6307], [3.8393, -3.8393, 6.6307], [3.8393, 3.8393, -6.6307]], "species": ["Pr", "Pr", "Dy", "Dy", "Dy", "Dy", "Se", "Se", "Se", "Se", "Se", "Se", "Se", "Se", "Se", "Se"], "fractional_positions": [[0.2500, 0.2500, 0.0000], [0.7500, 0.7500, 0.0000], [0.1559, 0.6559, 0.8118], [0.3441, 0.1559, 0.5000], [0.6559, 0.8441, 0.5000], [0.8441, 0.3441, 0.1882], [0.0000, 0.0000, 0.0000], [0.0087, 0.2007, 0.5000], [0.2007, 0.7007, 0.1921], [0.2993, 0.4913, 0.5000], [0.4913, 0.9913, 0.1921], [0.5000, 0.5000, 0.0000], [0.5087, 0.0087, 0.8079], [0.7007, 0.5087, 0.5000], [0.7993, 0.2993, 0.8079], [0.9913, 0.7993, 0.5000]], "total_magnetization_mub_per_atom": 0.0000}



{"formula": "TiZn2Te", "functional": "PBE", "state": "optimized geometry", "lattice_angstrom": [[7.7421, 0.0000, 0.0000], [0.0000, 7.7421, 0.0000], [0.0000, 0.0000, 5.3792]], "species": ["Ti", "Ti", "Ti", "Ti", "Zn", "Zn", "Zn", "Zn", "Zn", "Zn", "Zn", "Zn", "Te", "Te", "Te", "Te"], "fractional_positions": [[0.0000, 0.0000, 0.0000], [0.0000, 0.5000, 0.2500], [0.5000, 0.0000, 0.7500], [0.5000, 0.5000, 0.5000], [0.2449, 0.7500, 0.1250], [0.2500, 0.2449, 0.8750], [0.2500, 0.2551, 0.3750], [0.2551, 0.7500, 0.6250], [0.7449, 0.2500, 0.6250], [0.7500, 0.7449, 0.3750], [0.7500, 0.7551, 0.8750], [0.7551, 0.2500, 0.1250], [0.0000, 0.0000, 0.5000], [0.0000, 0.5000, 0.7500], [0.5000, 0.0000, 0.2500], [0.5000, 0.5000, 0.0000]], "total_magnetization_mub_per_atom": 0.0000}



{"formula": "NpN2", "functional": "PBE", "state": "optimized geometry", "lattice_angstrom": [[5.2239, 0.0000, 0.0000], [0.0000, 5.2239, 0.0000], [0.0000, 0.0000, 5.2239]], "species": ["Np", "Np", "Np", "Np", "N", "N", "N", "N", "N", "N", "N", "N"], "fractional_positions": [[0.0000, 0.0000, 0.0000], [0.0000, 0.5000, 0.5000], [0.5000, 0.0000, 0.5000], [0.5000, 0.5000, 0.0000], [0.2500, 0.2500, 0.2500], [0.2500, 0.2500, 0.7500], [0.2500, 0.7500, 0.2500], [0.2500, 0.7500, 0.7500], [0.7500, 0.2500, 0.2500], [0.7500, 0.2500, 0.7500], [0.7500, 0.7500, 0.2500], [0.7500, 0.7500, 0.7500]], "total_magnetization_mub_per_atom": 0.3343}



{"formula": "PrCd2In2Au2", "functional": "PBE", "state": "optimized geometry", "lattice_angstrom": [[2.3989, 1.3850, 8.6388], [-2.3989, 1.3850, 8.6388], [0.0000, -2.7700, 8.6388]], "species": ["Pr", "Cd", "Cd", "In", "In", "Au", "Au"], "fractional_positions": [[0.0000, 0.0000, 0.0000], [0.1363, 0.1363, 0.1363], [0.8637, 0.8637, 0.8637], [0.2525, 0.2525, 0.2525], [0.7475, 0.7475, 0.7475], [0.3979, 0.3979, 0.3979], [0.6021, 0.6021, 0.6021]], "e_form_mev_per_atom": -368, "total_magnetization_mub_per_atom": 0.0000}



{"formula": "NiCl2", "functional": "PBE", "state": "optimized geometry", "lattice_angstrom": [[6.7734, 0.0000, 0.0000], [-3.3867, 5.8659, 0.0000], [0.0000, 0.0000, 11.1430]], "species": ["Ni", "Ni", "Ni", "Ni", "Cl", "Cl", "Cl", "Cl", "Cl", "Cl", "Cl", "Cl"], "fractional_positions": [[0.3333, 0.6667, 0.1468], [0.3333, 0.6667, 0.3532], [0.6667, 0.3333, 0.6468], [0.6667, 0.3333, 0.8532], [0.0000, 0.0000, 0.0000], [0.0000, 0.0000, 0.5000], [0.1695, 0.3390, 0.2500], [0.1695, 0.8305, 0.2500], [0.3390, 0.1695, 0.7500], [0.6610, 0.8305, 0.2500], [0.8305, 0.1695, 0.7500], [0.8305, 0.6610, 0.7500]], "total_magnetization_mub_per_atom": 0.6710}



{"formula": "MgAg4", "functional": "PBE", "state": "optimized geometry", "lattice_angstrom": [[3.8383, 0.0000, 0.0000], [0.0000, 3.8383, 0.0000], [0.0000, 0.0000, 13.9208]], "species": ["Mg", "Mg", "Ag", "Ag", "Ag", "Ag", "Ag", "Ag", "Ag", "Ag"], "fractional_positions": [[0.0000, 0.0000, 0.0000], [0.5000, 0.5000, 0.5000], [0.0000, 0.0000, 0.4033], [0.0000, 0.0000, 0.5967], [0.0000, 0.5000, 0.2500], [0.0000, 0.5000, 0.7500], [0.5000, 0.0000, 0.2500], [0.5000, 0.0000, 0.7500], [0.5000, 0.5000, 0.0967], [0.5000, 0.5000, 0.9033]], "e_form_mev_per_atom": 99, "total_magnetization_mub_per_atom": 0.0000}



{"formula": "NiHg2Mo", "functional": "PBE", "state": "optimized geometry", "lattice_angstrom": [[4.2371, 0.0000, 0.0000], [0.0000, 4.2371, 0.0000], [0.0000, 0.0000, 7.7844]], "species": ["Ni", "Ni", "Hg", "Hg", "Hg", "Hg", "Mo", "Mo"], "fractional_positions": [[0.0000, 0.0000, 0.0000], [0.5000, 0.5000, 0.5000], [0.0000, 0.5000, 0.2500], [0.0000, 0.5000, 0.7500], [0.5000, 0.0000, 0.2500], [0.5000, 0.0000, 0.7500], [0.0000, 0.0000, 0.5000], [0.5000, 0.5000, 0.0000]], "e_form_mev_per_atom": 634, "total_magnetization_mub_per_atom": 0.5183, "de_polymorph_ev_per_atom": 0.354}



{"formula": "Er2SnRu", "functional": "PBE", "state": "optimized geometry", "lattice_angstrom": [[4.8357, 0.0000, 0.0000], [0.0000, 4.8357, 0.0000], [0.0000, 0.0000, 3.8070]], "species": ["Er", "Er", "Sn", "Ru"], "fractional_positions": [[0.0000, 0.5000, 0.0000], [0.5000, 0.0000, 0.0000], [0.0000, 0.0000, 0.5000], [0.5000, 0.5000, 0.5000]], "e_form_mev_per_atom": -456, "total_magnetization_mub_per_atom": 0.0000, "de_polymorph_ev_per_atom": 0.126}



{"formula": "NdYCdHg", "functional": "PBE", "state": "optimized geometry", "lattice_angstrom": [[7.5889, 0.0000, 0.0000], [0.0000, 7.5889, 0.0000], [0.0000, 0.0000, 7.5889]], "species": ["Nd", "Nd", "Nd", "Nd", "Y", "Y", "Y", "Y", "Cd", "Cd", "Cd", "Cd", "Hg", "Hg", "Hg", "Hg"], "fractional_positions": [[0.0000, 0.0000, 0.0000], [0.0000, 0.5000, 0.5000], [0.5000, 0.0000, 0.5000], [0.5000, 0.5000, 0.0000], [0.0000, 0.0000, 0.5000], [0.0000, 0.5000, 0.0000], [0.5000, 0.0000, 0.0000], [0.5000, 0.5000, 0.5000], [0.2500, 0.2500, 0.7500], [0.2500, 0.7500, 0.2500], [0.7500, 0.2500, 0.2500], [0.7500, 0.7500, 0.7500], [0.2500, 0.2500, 0.2500], [0.2500, 0.7500, 0.7500], [0.7500, 0.2500, 0.7500], [0.7500, 0.7500, 0.2500]], "e_form_mev_per_atom": -405, "total_magnetization_mub_per_atom": 0.1820}



Number 1: calculated total energy -10.4762 eV/atom. Number 2: calculated total energy -1.0690 eV/atom. Number 3: calculated total energy -2.4714 eV/atom. Number 4: calculated total energy -5.5704 eV/atom. Number 5: calculated total energy -3.2972 eV/atom. Number 6: calculated total energy -10.8194 eV/atom. Number 7: calculated total energy -3.0306 eV/atom. Number 8: calculated total energy -3.0079 eV/atom. Number 9: calculated total energy -2.5006 eV/atom. Number 10: calculated total energy -3.6704 eV/atom. Number 11: calculated total energy -6.0575 eV/atom. Number 12: calculated total energy -3.5170 eV/atom.